# 1
{
  "formula": "Sm2Si3Au6",
  "functional": "PBE-GGA",
  "state": "optimized geometry",
  "e_form_raw_ev_per_atom": -0.552,
  "lattice": [[7.656, 0.000, 0.000], [-3.828, 6.631, 0.000], [0.000, 0.000, 4.358]],
  "species": ["Sm", "Sm", "Si", "Si", "Si", "Au", "Au", "Au", "Au", "Au", "Au"],
  "fractional_positions": [[0.333, 0.667, 0.000], [0.667, 0.333, 0.000], [0.000, 0.644, 0.500], [0.356, 0.356, 0.500], [0.644, 0.000, 0.500], [0.000, 0.327, 0.500], [0.000, 0.785, 0.000], [0.215, 0.215, 0.000], [0.327, 0.000, 0.500], [0.673, 0.673, 0.500], [0.785, 0.000, 0.000]]
}

# 2
{
  "formula": "Li2TcPt",
  "functional": "PBE-GGA",
  "state": "optimized geometry",
  "de_polymorph_mev_per_atom": 36,
  "lattice": [[4.530, -1.331, 0.000], [4.530, 1.331, 0.000], [-0.630, 0.000, 4.837]],
  "species": ["Li", "Li", "Tc", "Pt"],
  "fractional_positions": [[0.000, 0.000, 0.000], [0.239, 0.239, 0.816], [0.481, 0.481, 0.480], [0.736, 0.736, 0.320]]
}

# 3
{
  "formula": "Cu3C",
  "functional": "PBE-GGA",
  "state": "optimized geometry",
  "e_tot_ha_per_atom": -0.168,
  "lattice": [[-1.320, 1.984, 4.010], [1.320, -1.984, 4.010], [1.320, 1.984, -4.010]],
  "species": ["Cu", "Cu", "Cu", "C"],
  "fractional_positions": [[0.000, 0.000, 0.000], [0.309, 0.809, 0.500], [0.691, 0.191, 0.500], [0.500, 0.500, 0.000]]
}

# 4
{
  "formula": "Nd2InSi2Ir5",
  "functional": "PBE-GGA",
  "state": "optimized geometry",
  "e_form_raw_ev_per_atom": -0.693,
  "lattice": [[9.960, 0.000, 0.000], [0.000, 9.960, 0.000], [0.000, 0.000, 3.592]],
  "species": ["Nd", "Nd", "Nd", "Nd", "In", "In", "Si", "Si", "Si", "Si", "Ir", "Ir", "Ir", "Ir", "Ir", "Ir", "Ir", "Ir", "Ir", "Ir"],
  "fractional_positions": [[0.177, 0.323, 0.000], [0.323, 0.823, 0.000], [0.677, 0.177, 0.000], [0.823, 0.677, 0.000], [0.000, 0.000, 0.000], [0.500, 0.500, 0.000], [0.121, 0.621, 0.000], [0.379, 0.121, 0.000], [0.621, 0.879, 0.000], [0.879, 0.379, 0.000], [0.000, 0.500, 0.500], [0.067, 0.779, 0.500], [0.221, 0.067, 0.500], [0.279, 0.567, 0.500], [0.433, 0.279, 0.500], [0.500, 0.000, 0.500], [0.567, 0.721, 0.500], [0.721, 0.433, 0.500], [0.779, 0.933, 0.500], [0.933, 0.221, 0.500]]
}

Number 1: spin magnetization 0.0 Bohr magnetons per cell, calculated volume 221.2 Å³/f.u.. Number 2: spin magnetization 0.0 Bohr magnetons per cell, calculated volume 58.3 Å³/f.u.. Number 3: spin magnetization 0.0 Bohr magnetons per cell, calculated volume 42.0 Å³/f.u.. Number 4: spin magnetization 0.0 Bohr magnetons per cell, calculated volume 178.1 Å³/f.u..